## Tl2NiAgI6 (PBE-GGA)

Data for Tl2NiAgI6 after structural relaxation. Values from VASP.

Geometry as Quantum ESPRESSO input:
```
&SYSTEM
  ibrav = 0, nat = 20, ntyp = 4
/
ATOMIC_SPECIES
Ni 58.69 Ni.upf
I 126.90 I.upf
Tl 204.38 Tl.upf
Ag 107.87 Ag.upf
CELL_PARAMETERS angstrom
7.579 0.000 0.073
0.000 8.355 0.000
0.172 0.000 11.275
ATOMIC_POSITIONS angstrom
Ni 0.000 4.177 0.000
Ni 3.876 0.000 5.674
I 2.144 5.605 0.413
I 1.731 1.428 5.261
I 7.075 4.100 2.651
I 4.379 8.277 3.096
I 0.676 4.255 8.697
I 5.607 2.750 10.935
I 6.020 6.927 6.087
I 5.404 2.568 6.025
I 6.222 6.746 10.997
I 3.372 0.078 8.252
I 2.347 5.787 5.323
I 1.529 1.609 0.351
Tl 3.575 3.362 2.844
Tl 4.176 4.993 8.504
Tl 7.450 0.816 8.518
Tl 0.301 7.539 2.830
Ag 0.086 4.177 5.638
Ag 3.789 0.000 0.036
```

Calculated values
**Space group**: P2_1/c, No. 14
**Total energy**: -2.561 eV/atom
**Raw formation energy**: -0.294 eV/atom